Here is UCoSiO6 after structural relaxation from Alexandria via LeMat-Bulk. Energies are from PBE with a Hubbard U.

The structure in POSCAR format:
```
UCoSiO6
1.0
-3.745 0.164 3.543
-1.097 -1.366 -4.851
1.546 -8.429 2.024
O Co U Si
12 2 2 2
direct
0.042 0.373 0.636 O
0.042 0.669 0.864 O
0.669 0.627 0.136 O
0.958 0.627 0.364 O
0.627 0.669 0.636 O
0.331 0.373 0.864 O
0.958 0.331 0.136 O
0.373 0.331 0.364 O
0.669 0.042 0.364 O
0.373 0.042 0.136 O
0.331 0.958 0.636 O
0.627 0.958 0.864 O
0.000 0.000 0.500 Co
0.000 0.000 0.000 Co
0.667 0.333 0.750 U
0.333 0.667 0.250 U
0.333 0.667 0.750 Si
0.667 0.333 0.250 Si
```

## Properties
- size of the total moment (μB per cell) = 5.93
- E (eV per atom) = -8.06
- N(E_F) (states/eV per cell) = 0.000
- V (Å³ per atom) = 11.271